# SCAN Li3MnP2O8, single point on PBEsol structure
data_Li3MnP2O8
_chemical_formula_sum 'Li6 Mn2 P4 O16'
_symmetry_space_group_name_H-M 'P 1'
_symmetry_Int_Tables_number 1
_symmetry_space_group_name_Hall 'P 1'
_cell_length_a 4.6638
_cell_length_b 5.0040
_cell_length_c 13.5645
_cell_angle_alpha 98.76
_cell_angle_beta 90.00
_cell_angle_gamma 117.78
loop_
_atom_site_label
_atom_site_type_symbol
_atom_site_fract_x
_atom_site_fract_y
_atom_site_fract_z
Li1 Li 0.0154 0.0000 0.7500
Li2 Li 0.9846 0.0000 0.2500
Li3 Li 0.6739 0.3328 0.6629
Li4 Li 0.6590 0.3328 0.1629
Li5 Li 0.3410 0.6672 0.8371
Li6 Li 0.3261 0.6672 0.3371
Mn1 Mn 0.0000 0.0000 0.5000
Mn2 Mn 0.0000 0.0000 0.0000
P1 P 0.6520 0.3148 0.8836
P2 P 0.6627 0.3148 0.3836
P3 P 0.3373 0.6852 0.6164
P4 P 0.3480 0.6852 0.1164
O1 O 0.7739 0.0755 0.8583
O2 O 0.3017 0.0755 0.3583
O3 O 0.6983 0.9245 0.6417
O4 O 0.2261 0.9245 0.1417
O5 O 0.4274 0.2192 0.9694
O6 O 0.7918 0.2192 0.4694
O7 O 0.2082 0.7808 0.5306
O8 O 0.5726 0.7808 0.0306
O9 O 0.4671 0.3369 0.7937
O10 O 0.8698 0.3369 0.2937
O11 O 0.1302 0.6631 0.7063
O12 O 0.5329 0.6631 0.2063
O13 O 0.3251 0.3658 0.5828
O14 O 0.0407 0.3658 0.0828
O15 O 0.9593 0.6342 0.9172
O16 O 0.6749 0.6342 0.4172
# formation energy from raw total energies	-2.516	eV/atom
# final energy	-9.378	eV/atom


# SCAN Li4MnP2O8, single point on PBEsol structure
data_Li4MnP2O8
_chemical_formula_sum 'Li16 Mn4 P8 O32'
_symmetry_space_group_name_H-M 'P 1'
_symmetry_Int_Tables_number 1
_symmetry_space_group_name_Hall 'P 1'
_cell_length_a 8.1188
_cell_length_b 8.1807
_cell_length_c 10.3156
_cell_angle_alpha 90.00
_cell_angle_beta 90.00
_cell_angle_gamma 104.65
loop_
_atom_site_label
_atom_site_type_symbol
_atom_site_fract_x
_atom_site_fract_y
_atom_site_fract_z
Li1 Li 0.0984 0.5966 0.6619
Li2 Li 0.1555 0.6554 0.1632
Li3 Li 0.2287 0.4796 0.4246
Li4 Li 0.1537 0.1546 0.3478
Li5 Li 0.3463 0.8454 0.8478
Li6 Li 0.2713 0.5204 0.9246
Li7 Li 0.3445 0.3446 0.6632
Li8 Li 0.4016 0.4034 0.1619
Li9 Li 0.5984 0.5966 0.8381
Li10 Li 0.6555 0.6554 0.3368
Li11 Li 0.7287 0.4796 0.0754
Li12 Li 0.6537 0.1546 0.1522
Li13 Li 0.8463 0.8454 0.6522
Li14 Li 0.7713 0.5204 0.5754
Li15 Li 0.8445 0.3446 0.8368
Li16 Li 0.9016 0.4034 0.3381
Mn1 Mn 0.0909 0.0899 0.8454
Mn2 Mn 0.4091 0.9101 0.3454
Mn3 Mn 0.5909 0.0899 0.6546
Mn4 Mn 0.9091 0.9101 0.1546
P1 P 0.9691 0.2314 0.5904
P2 P 0.9716 0.7035 0.9064
P3 P 0.5284 0.2965 0.4064
P4 P 0.4691 0.2314 0.9096
P5 P 0.0309 0.7686 0.4096
P6 P 0.0284 0.2965 0.0936
P7 P 0.4716 0.7035 0.5936
P8 P 0.5309 0.7686 0.0904
O1 O 0.9897 0.2491 0.9488
O2 O 0.9097 0.3792 0.6537
O3 O 0.8216 0.0673 0.5991
O4 O 0.9753 0.7223 0.5505
O5 O 0.0103 0.7509 0.0512
O6 O 0.0903 0.6208 0.3463
O7 O 0.1784 0.9327 0.4009
O8 O 0.0247 0.2777 0.4495
O9 O 0.1269 0.6555 0.8454
O10 O 0.0647 0.1443 0.1685
O11 O 0.1208 0.1979 0.6684
O12 O 0.1898 0.4452 0.0999
O13 O 0.3102 0.5548 0.5999
O14 O 0.3792 0.8021 0.1684
O15 O 0.4353 0.8557 0.6685
O16 O 0.3731 0.3445 0.3454
O17 O 0.4753 0.7223 0.9495
O18 O 0.3216 0.0673 0.9009
O19 O 0.4097 0.3792 0.8463
O20 O 0.5103 0.7509 0.4488
O21 O 0.4897 0.2491 0.5512
O22 O 0.5903 0.6208 0.1537
O23 O 0.6784 0.9327 0.0991
O24 O 0.5247 0.2777 0.0505
O25 O 0.6269 0.6555 0.6546
O26 O 0.5647 0.1443 0.3315
O27 O 0.6208 0.1979 0.8316
O28 O 0.6898 0.4452 0.4001
O29 O 0.8102 0.5548 0.9001
O30 O 0.8792 0.8021 0.3316
O31 O 0.9353 0.8557 0.8315
O32 O 0.8731 0.3445 0.1546
# formation energy from raw total energies	-2.562	eV/atom
# final energy	-9.126	eV/atom


# SCAN LiMnP2O7, single point on PBEsol structure
data_LiMnP2O7
_chemical_formula_sum 'Li2 Mn2 P4 O14'
_symmetry_space_group_name_H-M 'P 1'
_symmetry_Int_Tables_number 1
_symmetry_space_group_name_Hall 'P 1'
_cell_length_a 5.8274
_cell_length_b 5.9774
_cell_length_c 7.8584
_cell_angle_alpha 96.19
_cell_angle_beta 97.84
_cell_angle_gamma 106.07
loop_
_atom_site_label
_atom_site_type_symbol
_atom_site_fract_x
_atom_site_fract_y
_atom_site_fract_z
Li1 Li 0.0000 0.0000 0.0000
Li2 Li 0.0000 0.0000 0.5000
Mn1 Mn 0.3421 0.6904 0.2129
Mn2 Mn 0.6579 0.3096 0.7871
P1 P 0.1975 0.4721 0.7961
P2 P 0.8025 0.5279 0.2039
P3 P 0.5832 0.7753 0.6734
P4 P 0.4168 0.2247 0.3266
O1 O 0.1892 0.6486 0.9451
O2 O 0.8108 0.3514 0.0549
O3 O 0.3531 0.3101 0.8455
O4 O 0.6469 0.6899 0.1545
O5 O 0.6174 0.9903 0.8114
O6 O 0.3826 0.0097 0.1886
O7 O 0.7335 0.6307 0.7621
O8 O 0.2665 0.3693 0.2379
O9 O 0.3036 0.6180 0.6469
O10 O 0.6964 0.3820 0.3531
O11 O 0.9501 0.3035 0.7011
O12 O 0.0499 0.6965 0.2989
O13 O 0.3564 0.1698 0.5005
O14 O 0.6436 0.8302 0.4995
# formation energy from raw total energies	-2.374	eV/atom
# final energy	-10.107	eV/atom


# SCAN Li2Mn2P3O12, single point on PBEsol structure
data_Li2Mn2P3O12
_chemical_formula_sum 'Li4 Mn4 P6 O24'
_symmetry_space_group_name_H-M 'P 1'
_symmetry_Int_Tables_number 1
_symmetry_space_group_name_Hall 'P 1'
_cell_length_a 8.1802
_cell_length_b 8.1709
_cell_length_c 8.6021
_cell_angle_alpha 63.47
_cell_angle_beta 89.55
_cell_angle_gamma 60.63
loop_
_atom_site_label
_atom_site_type_symbol
_atom_site_fract_x
_atom_site_fract_y
_atom_site_fract_z
Li1 Li 0.3085 0.6133 0.1394
Li2 Li 0.7319 0.9328 0.1385
Li3 Li 0.2681 0.0672 0.8615
Li4 Li 0.6915 0.3867 0.8606
Mn1 Mn 0.3433 0.3087 0.0450
Mn2 Mn 0.8581 0.2826 0.5695
Mn3 Mn 0.1419 0.7174 0.4305
Mn4 Mn 0.6567 0.6913 0.9550
P1 P 0.4603 0.7928 0.2511
P2 P 0.7344 0.2227 0.2433
P3 P 0.0328 0.4905 0.2537
P4 P 0.9672 0.5095 0.7463
P5 P 0.2656 0.7773 0.7567
P6 P 0.5397 0.2072 0.7489
O1 O 0.4680 0.7454 0.0875
O2 O 0.5126 0.3054 0.2031
O3 O 0.4744 0.9955 0.1843
O4 O 0.7666 0.3893 0.0832
O5 O 0.8239 0.6742 0.1184
O6 O 0.8574 0.0105 0.2438
O7 O 0.6221 0.6044 0.4180
O8 O 0.7903 0.2023 0.4216
O9 O 0.1641 0.3431 0.1826
O10 O 0.1123 0.6231 0.2639
O11 O 0.0209 0.3506 0.4376
O12 O 0.2538 0.8467 0.2628
O13 O 0.7462 0.1533 0.7372
O14 O 0.9791 0.6494 0.5624
O15 O 0.8877 0.3769 0.7361
O16 O 0.8359 0.6569 0.8174
O17 O 0.2097 0.7977 0.5784
O18 O 0.3779 0.3956 0.5820
O19 O 0.1426 0.9895 0.7562
O20 O 0.1761 0.3258 0.8816
O21 O 0.2334 0.6107 0.9168
O22 O 0.5256 0.0045 0.8157
O23 O 0.4874 0.6946 0.7969
O24 O 0.5320 0.2546 0.9125
# formation energy from raw total energies	-2.402	eV/atom
# final energy	-10.152	eV/atom


Repeat the first record exactly.
# SCAN Li3MnP2O8, single point on PBEsol structure
data_Li3MnP2O8
_chemical_formula_sum 'Li6 Mn2 P4 O16'
_symmetry_space_group_name_H-M 'P 1'
_symmetry_Int_Tables_number 1
_symmetry_space_group_name_Hall 'P 1'
_cell_length_a 4.6638
_cell_length_b 5.0040
_cell_length_c 13.5645
_cell_angle_alpha 98.76
_cell_angle_beta 90.00
_cell_angle_gamma 117.78
loop_
_atom_site_label
_atom_site_type_symbol
_atom_site_fract_x
_atom_site_fract_y
_atom_site_fract_z
Li1 Li 0.0154 0.0000 0.7500
Li2 Li 0.9846 0.0000 0.2500
Li3 Li 0.6739 0.3328 0.6629
Li4 Li 0.6590 0.3328 0.1629
Li5 Li 0.3410 0.6672 0.8371
Li6 Li 0.3261 0.6672 0.3371
Mn1 Mn 0.0000 0.0000 0.5000
Mn2 Mn 0.0000 0.0000 0.0000
P1 P 0.6520 0.3148 0.8836
P2 P 0.6627 0.3148 0.3836
P3 P 0.3373 0.6852 0.6164
P4 P 0.3480 0.6852 0.1164
O1 O 0.7739 0.0755 0.8583
O2 O 0.3017 0.0755 0.3583
O3 O 0.6983 0.9245 0.6417
O4 O 0.2261 0.9245 0.1417
O5 O 0.4274 0.2192 0.9694
O6 O 0.7918 0.2192 0.4694
O7 O 0.2082 0.7808 0.5306
O8 O 0.5726 0.7808 0.0306
O9 O 0.4671 0.3369 0.7937
O10 O 0.8698 0.3369 0.2937
O11 O 0.1302 0.6631 0.7063
O12 O 0.5329 0.6631 0.2063
O13 O 0.3251 0.3658 0.5828
O14 O 0.0407 0.3658 0.0828
O15 O 0.9593 0.6342 0.9172
O16 O 0.6749 0.6342 0.4172
# formation energy from raw total energies	-2.516	eV/atom
# final energy	-9.378	eV/atom